Fe3NiPd: optimized geometry, PBE.

- excess energy over the best structure of this formula in the dataset (eV per atom) = 0.796
- DFT total energy (eV/atom) = -6.404
- E_form (eV/atom) = 0.8689
- space-group type = Pm-3m (221)
- crystal system = cubic
- ρ (g cm⁻³) = 6.95

Cell lengths 4.2987, 4.2987, 4.2987 Å; angles 90.00, 90.00, 90.00 degrees
Closest atoms and distances in Å follow each position.
Sites, in units of the cell vectors:
Fe1 0.0000 0.0000 0.5000  2 Ni 2.15
Fe2 0.0000 0.5000 0.0000  2 Ni 2.15
Fe3 0.5000 0.0000 0.0000  2 Ni 2.15
Ni1 0.0000 0.0000 0.0000  6 Fe 2.15
Pd1 0.5000 0.5000 0.5000  12 Fe 3.04

=====

HfZr4Sc3N8: optimized geometry, PBE.

- DFT total energy (eV/atom) = -9.929
- space-group type = R-3m (166)
- crystal system = trigonal
- E_form (uncorrected) (meV per atom) = -1820
- ρ (g cm⁻³) = 6.89

Cell lengths 6.4704, 6.4704, 6.4704 Å; angles 59.78, 59.78, 59.78 degrees
Closest atoms and distances in Å follow each position.
Sites, in units of the cell vectors:
Hf1 0.0000 0.0000 0.0000  6 N 2.25
Zr1 0.0000 0.0000 0.5000  6 N 2.29-2.30
Zr2 0.0000 0.5000 0.0000  6 N 2.29-2.30
Zr3 0.5000 0.0000 0.0000  6 N 2.29-2.30
Zr4 0.5000 0.5000 0.5000  6 N 2.32
Sc1 0.0000 0.5000 0.5000  6 N 2.27-2.28
Sc2 0.5000 0.0000 0.5000  6 N 2.27-2.28
Sc3 0.5000 0.5000 0.0000  6 N 2.27-2.28
N1 0.2464 0.2464 0.7504  1 Hf 2.25, 2 Sc 2.27, 3 Zr 2.30-2.32
N2 0.2464 0.7504 0.2464  1 Hf 2.25, 2 Sc 2.27, 3 Zr 2.30-2.32
N3 0.2496 0.7536 0.7536  1 Hf 2.25, 2 Sc 2.27, 3 Zr 2.30-2.32
N4 0.2508 0.2508 0.2508  3 Sc 2.28, 3 Zr 2.29
N5 0.7492 0.7492 0.7492  3 Sc 2.28, 3 Zr 2.29
N6 0.7504 0.2464 0.2464  1 Hf 2.25, 2 Sc 2.27, 3 Zr 2.30-2.32
N7 0.7536 0.2496 0.7536  1 Hf 2.25, 2 Sc 2.27, 3 Zr 2.30-2.32
N8 0.7536 0.7536 0.2496  1 Hf 2.25, 2 Sc 2.27, 3 Zr 2.30-2.32

=====

CaPr2YHg4: optimized geometry, PBE.

- DFT total energy (eV/atom) = -2.922
- E_form (eV/atom) = -0.5177
- space-group type = R-3m (166)
- crystal system = trigonal
- ρ (g cm⁻³) = 9.08

Cell lengths 9.3298, 9.3298, 9.3298 Å; angles 33.62, 33.62, 33.62 degrees
Closest atoms and distances in Å follow each position.
Sites, in units of the cell vectors:
Ca1 0.0000 0.0000 0.0000  8 Hg 3.32-3.35
Pr1 0.2518 0.2518 0.2518  8 Hg 3.27-3.34
Pr2 0.7482 0.7482 0.7482  8 Hg 3.27-3.34
Y1 0.5000 0.5000 0.5000  8 Hg 3.24-3.29
Hg1 0.1269 0.1269 0.1269  3 Y 3.29, 4 Pr 3.30-3.34, 1 Ca 3.35
Hg2 0.3770 0.3770 0.3770  1 Y 3.24, 4 Pr 3.27-3.30, 3 Ca 3.32
Hg3 0.6230 0.6230 0.6230  1 Y 3.24, 4 Pr 3.27-3.30, 3 Ca 3.32
Hg4 0.8731 0.8731 0.8731  3 Y 3.29, 4 Pr 3.30-3.34, 1 Ca 3.35

=====

TiCoMoOs: optimized geometry, PBE.

- DFT total energy (eV/atom) = -9.416
- E_form (eV/atom) = -0.1502
- space-group type = F-43m (216)
- crystal system = cubic
- ρ (g cm⁻³) = 11.34

Cell lengths 4.3331, 4.3331, 4.3331 Å; angles 60.00, 60.00, 60.00 degrees
Closest atoms and distances in Å follow each position.
Sites, in units of the cell vectors:
Ti1 0.0000 0.0000 0.0000  4 Co 2.65, 4 Os 2.65
Co1 0.7500 0.7500 0.7500  4 Mo 2.65, 4 Ti 2.65
Mo1 0.5000 0.5000 0.5000  4 Co 2.65, 4 Os 2.65
Os1 0.2500 0.2500 0.2500  4 Mo 2.65, 4 Ti 2.65

=====

SrZr2Ni: optimized geometry, PBE.

- excess energy over the best structure of this formula in the dataset (eV per atom) = 0.462
- DFT total energy (eV/atom) = -5.660
- E_form (eV/atom) = 0.4802
- space-group type = I4/mmm (139)
- crystal system = tetragonal
- ρ (g cm⁻³) = 5.83

Cell lengths 6.1878, 6.1878, 6.1878 Å; angles 140.86, 140.86, 56.55 degrees
Closest atoms and distances in Å follow each position.
Sites, in units of the cell vectors:
Sr1 0.0000 0.0000 0.0000  4 Ni 2.93
Zr1 0.2500 0.7500 0.5000  4 Zr 2.93
Zr2 0.7500 0.2500 0.5000  4 Zr 2.93
Ni1 0.5000 0.5000 0.0000  4 Sr 2.93

=====

PtAuBr2: optimized geometry, PBE.

- excess energy over the best structure of this formula in the dataset (eV per atom) = 0.089
- DFT total energy (eV/atom) = -3.052
- space-group type = Pm (6)
- crystal system = monoclinic
- E_form (uncorrected) (meV per atom) = 114
- ρ (g cm⁻³) = 7.97

Cell lengths 4.5635, 3.7511, 6.7930 Å; angles 90.00, 98.76, 90.00 degrees
Closest atoms and distances in Å follow each position.
Sites, in units of the cell vectors:
Pt1 0.0000 0.0000 0.0000  3 Br 2.49-2.64, 2 Au 2.64
Au1 0.2641 0.5000 0.8177  2 Pt 2.64, 2 Br 2.65
Br1 0.5902 0.0000 0.6816  1 Pt 2.64, 2 Au 2.65
Br2 0.9569 0.5000 0.2346  2 Pt 2.49

=====

Question: The highest ρ belongs to which entry?
Answer: TiCoMoOs

=====

What did the third record say?
CaPr2YHg4: optimized geometry, PBE.

- DFT total energy (eV/atom) = -2.922
- E_form (eV/atom) = -0.5177
- space-group type = R-3m (166)
- crystal system = trigonal
- ρ (g cm⁻³) = 9.08

Cell lengths 9.3298, 9.3298, 9.3298 Å; angles 33.62, 33.62, 33.62 degrees
Closest atoms and distances in Å follow each position.
Sites, in units of the cell vectors:
Ca1 0.0000 0.0000 0.0000  8 Hg 3.32-3.35
Pr1 0.2518 0.2518 0.2518  8 Hg 3.27-3.34
Pr2 0.7482 0.7482 0.7482  8 Hg 3.27-3.34
Y1 0.5000 0.5000 0.5000  8 Hg 3.24-3.29
Hg1 0.1269 0.1269 0.1269  3 Y 3.29, 4 Pr 3.30-3.34, 1 Ca 3.35
Hg2 0.3770 0.3770 0.3770  1 Y 3.24, 4 Pr 3.27-3.30, 3 Ca 3.32
Hg3 0.6230 0.6230 0.6230  1 Y 3.24, 4 Pr 3.27-3.30, 3 Ca 3.32
Hg4 0.8731 0.8731 0.8731  3 Y 3.29, 4 Pr 3.30-3.34, 1 Ca 3.35